*A*
The following is a PBE calculation of a geometry-optimized ErTm4Te5 structure, from Alexandria via LeMat-Bulk.

Cell: 15.953 15.953 15.953 Å, 164.69 164.69 21.72°
Fractional coordinates of all 10 atoms:
1 Er 0.000 0.000 0.000
2 Tm 0.211 0.211 0.000
3 Tm 0.407 0.407 0.000
4 Tm 0.593 0.593 0.000
5 Tm 0.789 0.789 0.000
6 Te 0.103 0.103 0.000
7 Te 0.308 0.308 0.000
8 Te 0.500 0.500 0.000
9 Te 0.692 0.692 0.000
10 Te 0.897 0.897 0.000

Values from the calculation:
volume	283.08	Å³ per cell
SG	I4/mmm
N(E_F)	0.504	states/eV/atom

***

*B*
The following is a PBE calculation of a geometry-optimized ErTm4Te5 structure, from Alexandria via LeMat-Bulk.

Cell: 7.450 7.450 7.450 Å, 99.65 99.65 131.67°
Fractional coordinates of all 10 atoms:
1 Er 0.000 0.000 0.000
2 Tm 0.199 0.598 0.805
3 Tm 0.394 0.199 0.601
4 Tm 0.598 0.793 0.399
5 Tm 0.793 0.394 0.195
6 Te 0.095 0.298 0.401
7 Te 0.298 0.897 0.204
8 Te 0.500 0.500 0.000
9 Te 0.694 0.095 0.796
10 Te 0.897 0.694 0.599

Values from the calculation:
volume	281.83	Å³ per cell
SG	I4
N(E_F)	0.560	states/eV/atom

***

It comes down to *A*, which is 0.6 kJ/mol of atoms more stable than the next structure.

***

*A*
The following is a PBE calculation of a geometry-optimized ErTm2Te2 structure, from Alexandria via LeMat-Bulk.

Cell: 8.795 8.795 8.795 Å, 152.36 152.36 39.48°
Fractional coordinates of all 5 atoms:
1 Er 0.000 0.000 0.000
2 Tm 0.379 0.379 0.000
3 Tm 0.621 0.621 0.000
4 Te 0.180 0.180 0.000
5 Te 0.820 0.820 0.000

Values from the calculation:
volume	146.12	Å³ per cell
SG	I4/mmm
N(E_F)	0.745	states/eV/atom

***

*B*
The following is a PBE calculation of a geometry-optimized ErTm2Te2 structure, from Alexandria via LeMat-Bulk.

Cell: 6.052 8.329 11.861 Å, 90.00 109.49 90.00°
Fractional coordinates of all 20 atoms:
1 Er 0.007 0.167 0.318
2 Er 0.007 0.333 0.818
3 Er 0.993 0.667 0.182
4 Er 0.993 0.833 0.682
5 Tm 0.366 0.672 0.991
6 Tm 0.366 0.828 0.491
7 Tm 0.396 0.001 0.202
8 Tm 0.396 0.499 0.702
9 Tm 0.604 0.501 0.298
10 Tm 0.604 0.999 0.798
11 Tm 0.634 0.172 0.509
12 Tm 0.634 0.328 0.009
13 Te 0.192 0.149 0.604
14 Te 0.192 0.351 0.104
15 Te 0.204 0.014 0.914
16 Te 0.204 0.486 0.414
17 Te 0.796 0.514 0.586
18 Te 0.796 0.986 0.086
19 Te 0.808 0.649 0.896
20 Te 0.808 0.851 0.396

Values from the calculation:
volume	563.64	Å³ per cell
SG	P2_1/c
N(E_F)	0.823	states/eV/atom

***

It comes down to *A*, which is 3.4 kJ/mol of atoms more stable than the next structure.

***

*A*
The following is a PBE calculation of a geometry-optimized Er2TmTe structure, from Alexandria via LeMat-Bulk.

Cell: 10.070 10.070 10.070 Å, 21.76 21.76 21.76°
Fractional coordinates of all 4 atoms:
1 Er 0.239 0.239 0.239
2 Er 0.761 0.761 0.761
3 Tm 0.000 0.000 0.000
4 Te 0.500 0.500 0.500

Values from the calculation:
volume	122.94	Å³ per cell
SG	R-3m
N(E_F)	0.981	states/eV/atom

***

*B*
The following is a PBE calculation of a geometry-optimized Er2TmTe structure, from Alexandria via LeMat-Bulk.

Cell: 6.315 6.315 9.740 Å, 90.00 90.00 144.20°
Fractional coordinates of all 8 atoms:
1 Er 0.134 0.866 0.537
2 Er 0.134 0.866 0.963
3 Er 0.866 0.134 0.037
4 Er 0.866 0.134 0.463
5 Tm 0.444 0.556 0.750
6 Tm 0.556 0.444 0.250
7 Te 0.264 0.736 0.250
8 Te 0.736 0.264 0.750

Values from the calculation:
volume	227.21	Å³ per cell
SG	Cmcm
N(E_F)	1.133	states/eV/atom

***

*C*
The following is a PBE calculation of a geometry-optimized Er2TmTe structure, from Alexandria via LeMat-Bulk.

Cell: 14.761 9.765 6.341 Å, 90.00 90.00 90.00°
Fractional coordinates of all 32 atoms:
1 Er 0.030 0.038 0.238
2 Er 0.030 0.462 0.238
3 Er 0.218 0.533 0.531
4 Er 0.218 0.967 0.531
5 Er 0.282 0.033 0.031
6 Er 0.282 0.467 0.031
7 Er 0.470 0.538 0.738
8 Er 0.470 0.962 0.738
9 Er 0.530 0.038 0.262
10 Er 0.530 0.462 0.262
11 Er 0.718 0.533 0.969
12 Er 0.718 0.967 0.969
13 Er 0.782 0.033 0.469
14 Er 0.782 0.467 0.469
15 Er 0.970 0.538 0.762
16 Er 0.970 0.962 0.762
17 Tm 0.111 0.250 0.787
18 Tm 0.131 0.750 0.027
19 Tm 0.369 0.250 0.527
20 Tm 0.389 0.750 0.287
21 Tm 0.611 0.250 0.713
22 Tm 0.631 0.750 0.473
23 Tm 0.869 0.250 0.973
24 Tm 0.889 0.750 0.213
25 Te 0.066 0.750 0.488
26 Te 0.184 0.250 0.302
27 Te 0.316 0.750 0.802
28 Te 0.434 0.250 0.988
29 Te 0.566 0.750 0.012
30 Te 0.684 0.250 0.198
31 Te 0.816 0.750 0.698
32 Te 0.934 0.250 0.512

Values from the calculation:
volume	914.03	Å³ per cell
SG	Pnma
N(E_F)	1.248	states/eV/atom

***

*D*
The following is a PBE calculation of a geometry-optimized Er2TmTe structure, from Alexandria via LeMat-Bulk.

Cell: 9.908 9.908 9.908 Å, 22.30 22.30 22.30°
Fractional coordinates of all 4 atoms:
1 Er 0.000 0.000 0.000
2 Er 0.187 0.187 0.187
3 Tm 0.760 0.760 0.760
4 Te 0.594 0.594 0.594

Values from the calculation:
volume	122.86	Å³ per cell
SG	R3m
N(E_F)	1.187	states/eV/atom

***

It comes down to *B*, which is 1.9 kJ/mol of atoms more stable than the next structure.

***

*A*
The following is a PBE calculation of a geometry-optimized Y2ErTe structure, from Alexandria via LeMat-Bulk.

Cell: 3.873 3.873 7.807 Å, 90.00 90.00 90.00°
Fractional coordinates of all 4 atoms:
1 Y 0.000 0.000 0.227
2 Y 0.000 0.000 0.773
3 Er 0.500 0.500 0.500
4 Te 0.500 0.500 0.000

Values from the calculation:
volume	117.09	Å³ per cell
SG	P4/mmm
N(E_F)	1.189	states/eV/atom

***

*B*
The following is a PBE calculation of a geometry-optimized Y2ErTe structure, from Alexandria via LeMat-Bulk.

Cell: 6.402 6.402 9.752 Å, 90.00 90.00 144.05°
Fractional coordinates of all 8 atoms:
1 Y 0.135 0.865 0.539
2 Y 0.135 0.865 0.961
3 Y 0.865 0.135 0.039
4 Y 0.865 0.135 0.461
5 Er 0.442 0.558 0.750
6 Er 0.558 0.442 0.250
7 Te 0.263 0.737 0.250
8 Te 0.737 0.263 0.750

Values from the calculation:
volume	234.62	Å³ per cell
SG	Cmcm
N(E_F)	1.134	states/eV/atom

***

*C*
The following is a PBE calculation of a geometry-optimized Y2ErTe structure, from Alexandria via LeMat-Bulk.

Cell: 9.955 9.955 9.955 Å, 22.53 22.53 22.53°
Fractional coordinates of all 4 atoms:
1 Y 0.000 0.000 0.000
2 Y 0.188 0.188 0.188
3 Er 0.427 0.427 0.427
4 Te 0.594 0.594 0.594

Values from the calculation:
volume	127.00	Å³ per cell
SG	R3m
N(E_F)	1.314	states/eV/atom

***

It comes down to *B*, which is 9.7 kJ/mol of atoms more stable than the next structure.

***

*A*
The following is a PBE calculation of a geometry-optimized YErTe3 structure, from Alexandria via LeMat-Bulk.

Cell: 7.378 7.378 10.806 Å, 90.00 90.00 146.92°
Fractional coordinates of all 10 atoms:
1 Y 0.000 0.000 0.000
2 Y 0.000 0.000 0.500
3 Er 0.245 0.755 0.750
4 Er 0.755 0.245 0.250
5 Te 0.099 0.901 0.250
6 Te 0.351 0.649 0.070
7 Te 0.351 0.649 0.430
8 Te 0.649 0.351 0.570
9 Te 0.649 0.351 0.930
10 Te 0.901 0.099 0.750

Values from the calculation:
volume	321.03	Å³ per cell
SG	Cmcm
N(E_F)	0.037	states/eV/atom

***

*B*
The following is a PBE calculation of a geometry-optimized YErTe3 structure, from Alexandria via LeMat-Bulk.

Cell: 8.287 8.287 8.287 Å, 55.07 55.07 55.07°
Fractional coordinates of all 10 atoms:
1 Y 0.157 0.157 0.157
2 Y 0.843 0.843 0.843
3 Er 0.342 0.342 0.342
4 Er 0.658 0.658 0.658
5 Te 0.065 0.748 0.436
6 Te 0.252 0.564 0.935
7 Te 0.436 0.065 0.748
8 Te 0.564 0.935 0.252
9 Te 0.748 0.436 0.065
10 Te 0.935 0.252 0.564

Values from the calculation:
volume	356.29	Å³ per cell
SG	R-3

***

It comes down to *B*, which is 2.7 kJ/mol of atoms more stable than the next structure.

***

*A*
The following is a PBE calculation of a geometry-optimized YEr2Te3 structure, from Alexandria via LeMat-Bulk.

Cell: 7.490 7.490 7.490 Å, 146.10 131.87 60.16°
Fractional coordinates of all 6 atoms:
1 Y 0.000 0.000 0.000
2 Er 0.338 0.338 0.000
3 Er 0.662 0.662 0.000
4 Te 0.171 0.671 0.500
5 Te 0.500 0.000 0.500
6 Te 0.829 0.329 0.500

Values from the calculation:
volume	172.84	Å³ per cell
SG	Immm
N(E_F)	0.454	states/eV/atom

***

*B*
The following is a PBE calculation of a geometry-optimized YEr2Te3 structure, from Alexandria via LeMat-Bulk.

Cell: 8.753 8.753 8.753 Å, 48.80 48.80 48.80°
Fractional coordinates of all 12 atoms:
1 Y 0.000 0.000 0.000
2 Y 0.500 0.500 0.500
3 Er 0.166 0.166 0.166
4 Er 0.334 0.334 0.334
5 Er 0.666 0.666 0.666
6 Er 0.834 0.834 0.834
7 Te 0.081 0.750 0.419
8 Te 0.250 0.581 0.919
9 Te 0.419 0.081 0.750
10 Te 0.581 0.919 0.250
11 Te 0.750 0.419 0.081
12 Te 0.919 0.250 0.581

Values from the calculation:
volume	348.40	Å³ per cell
SG	R-3c
N(E_F)	0.775	states/eV/atom

***

It comes down to *B*, which is 2.6 kJ/mol of atoms more stable than the next structure.

***

*A*
The following is a PBE calculation of a geometry-optimized Y3ErTe structure, from Alexandria via LeMat-Bulk.

Cell: 9.005 9.005 9.970 Å, 105.42 105.42 24.00°
Fractional coordinates of all 10 atoms:
1 Y 0.002 0.002 0.204
2 Y 0.101 0.101 0.542
3 Y 0.322 0.322 0.155
4 Y 0.678 0.678 0.845
5 Y 0.899 0.899 0.458
6 Y 0.998 0.998 0.796
7 Er 0.297 0.297 0.660
8 Er 0.703 0.703 0.340
9 Te 0.138 0.138 0.070
10 Te 0.862 0.862 0.930

Values from the calculation:
volume	316.48	Å³ per cell
SG	C2/m
N(E_F)	1.294	states/eV/atom

***

*B*
The following is a PBE calculation of a geometry-optimized Y3ErTe structure, from Alexandria via LeMat-Bulk.

Cell: 7.434 7.434 7.650 Å, 118.16 118.16 77.54°
Fractional coordinates of all 10 atoms:
1 Y 0.059 0.059 0.308
2 Y 0.077 0.454 0.785
3 Y 0.454 0.077 0.785
4 Y 0.546 0.923 0.215
5 Y 0.923 0.546 0.215
6 Y 0.941 0.941 0.692
7 Er 0.432 0.432 0.635
8 Er 0.568 0.568 0.365
9 Te 0.242 0.242 0.114
10 Te 0.758 0.758 0.886

Values from the calculation:
volume	328.57	Å³ per cell
SG	C2/m
N(E_F)	1.347	states/eV/atom

***

It comes down to *A*, which is 2.6 kJ/mol of atoms more stable than the next structure.

***

*A*
The following is a PBE calculation of a geometry-optimized YEr6Te8 structure, from Alexandria via LeMat-Bulk.

Cell: 8.612 8.612 8.612 Å, 60.00 60.00 60.00°
Fractional coordinates of all 15 atoms:
1 Y 0.000 0.000 0.000
2 Er 0.000 0.000 0.500
3 Er 0.000 0.500 0.000
4 Er 0.000 0.500 0.500
5 Er 0.500 0.000 0.000
6 Er 0.500 0.000 0.500
7 Er 0.500 0.500 0.000
8 Te 0.250 0.250 0.250
9 Te 0.257 0.257 0.743
10 Te 0.257 0.743 0.257
11 Te 0.257 0.743 0.743
12 Te 0.743 0.257 0.257
13 Te 0.743 0.257 0.743
14 Te 0.743 0.743 0.257
15 Te 0.750 0.750 0.750

Values from the calculation:
volume	451.71	Å³ per cell
SG	Fm-3m
N(E_F)	0.448	states/eV/atom

***

*B*
The following is a PBE calculation of a geometry-optimized YEr6Te8 structure, from Alexandria via LeMat-Bulk.

Cell: 7.978 7.978 7.978 Å, 90.86 90.86 90.86°
Fractional coordinates of all 15 atoms:
1 Y 0.000 0.000 0.000
2 Er 0.195 0.419 0.560
3 Er 0.419 0.560 0.195
4 Er 0.440 0.805 0.581
5 Er 0.560 0.195 0.419
6 Er 0.581 0.440 0.805
7 Er 0.805 0.581 0.440
8 Te 0.129 0.752 0.354
9 Te 0.230 0.230 0.230
10 Te 0.248 0.646 0.871
11 Te 0.354 0.129 0.752
12 Te 0.646 0.871 0.248
13 Te 0.752 0.354 0.129
14 Te 0.770 0.770 0.770
15 Te 0.871 0.248 0.646

Values from the calculation:
volume	507.64	Å³ per cell
SG	R-3
N(E_F)	0.794	states/eV/atom

***

It comes down to *A*, which is 25.8 kJ/mol of atoms more stable than the next structure.